Here is a relaxed structure of Nd2InBi from the Alexandria database. Energies are from PBE-GGA.

Lattice parameters (Å, degrees): 4.3920 8.4288 14.6788 90.00 90.00 90.00
Closest atoms and distances in Å follow each position.
Fractional positions:
In 0.7500 0.4506 0.9276  2 In 3.17, 5 Nd 3.22-3.41
In 0.7500 0.9506 0.5724  2 In 3.17, 5 Nd 3.22-3.41
In 0.2500 0.0494 0.4276  2 In 3.17, 5 Nd 3.22-3.41
In 0.2500 0.5494 0.0724  2 In 3.17, 5 Nd 3.22-3.41
Bi 0.2500 0.9244 0.8357  7 Nd 3.26-3.35
Bi 0.7500 0.0756 0.1643  7 Nd 3.26-3.35
Bi 0.7500 0.5756 0.3357  7 Nd 3.26-3.35
Bi 0.2500 0.4244 0.6643  7 Nd 3.26-3.35
Nd 0.2500 0.1844 0.0084  3 In 3.22-3.36, 3 Bi 3.30-3.35
Nd 0.7500 0.1810 0.7633  4 Bi 3.26-3.34, 2 In 3.31-3.41
Nd 0.2500 0.6844 0.4916  3 In 3.22-3.36, 3 Bi 3.30-3.35
Nd 0.2500 0.8190 0.2367  4 Bi 3.26-3.34, 2 In 3.31-3.41
Nd 0.2500 0.3190 0.2633  4 Bi 3.26-3.34, 2 In 3.31-3.41
Nd 0.7500 0.6810 0.7367  4 Bi 3.26-3.34, 2 In 3.31-3.41
Nd 0.7500 0.8156 0.9916  3 In 3.22-3.36, 3 Bi 3.30-3.35
Nd 0.7500 0.3156 0.5084  3 In 3.22-3.36, 3 Bi 3.30-3.35

Its space-group type is Pnma. Its polymorph energy (0 for the lowest one) is 0.163 eV/atom. The calculation puts the energy of formation from the pure elements at -0.52 eV per atom.



Here is a relaxed structure of AlHgW2 from the Alexandria database. Energies are from PBE-GGA.

Lattice parameters (Å, degrees): 3.3110 3.3110 6.2711 90.00 90.00 90.00
Closest atoms and distances in Å follow each position.
Fractional positions:
W 0.0000 0.0000 0.0388  4 W 2.66, 1 Al 2.79
W 0.5000 0.5000 0.2415  4 W 2.66, 4 Al 2.79
Al 0.0000 0.0000 0.4843  5 W 2.79, 4 Hg 2.82
Hg 0.5000 0.5000 0.7354  4 Al 2.82, 5 W 3.02-3.10

Its space-group type is P4mm. Its polymorph energy (0 for the lowest one) is 0.000 eV/atom. The calculation puts the energy of formation from the pure elements at 0.34 eV per atom.



Here is a relaxed structure of Li2PmSc3Te6 from the Alexandria database. Energies are from PBE-GGA.

Lattice parameters (Å, degrees): 7.2818 7.2818 7.4518 99.47 99.47 119.98
Closest atoms and distances in Å follow each position.
Fractional positions:
Te 0.2614 0.2614 0.7448  3 Sc 2.90-2.96, 2 Li 3.02, 1 Pm 3.10
Te 0.9136 0.5688 0.7394  3 Sc 2.94-2.99, 2 Li 2.97-3.02, 1 Pm 3.11
Te 0.7386 0.7386 0.2552  3 Sc 2.90-2.96, 2 Li 3.02, 1 Pm 3.10
Te 0.5688 0.9136 0.7394  3 Sc 2.94-2.99, 2 Li 2.97-3.02, 1 Pm 3.11
Te 0.4312 0.0864 0.2606  3 Sc 2.94-2.99, 2 Li 2.97-3.02, 1 Pm 3.11
Te 0.0864 0.4312 0.2606  3 Sc 2.94-2.99, 2 Li 2.97-3.02, 1 Pm 3.11
Sc 0.8392 0.1608 0.5000  6 Te 2.94-2.99
Sc 0.1608 0.8392 0.5000  6 Te 2.94-2.99
Sc 0.5000 0.5000 0.5000  6 Te 2.90-2.99
Pm 0.0000 0.0000 0.0000  6 Te 3.10-3.11
Li 0.6708 0.3292 0.0000  6 Te 2.97-3.02
Li 0.3292 0.6708 0.0000  6 Te 2.97-3.02

Its space-group type is C2/m. As for the formation energy from raw total energies: -1.22 eV per atom.



Here is a relaxed structure of Zr4PaAu5 from the Alexandria database. Energies are from PBE-GGA.

Lattice parameters (Å, degrees): 3.1448 3.1448 20.5844 90.00 90.00 90.00
Closest atoms and distances in Å follow each position.
Fractional positions:
Au 0.5000 0.5000 0.5000  8 Zr 3.00, 4 Au 3.14
Au 0.5000 0.5000 0.3041  8 Zr 3.00-3.01, 4 Au 3.14
Au 0.5000 0.5000 0.8927  4 Zr 3.01, 4 Pa 3.13, 4 Au 3.14
Au 0.5000 0.5000 0.6959  8 Zr 3.00-3.01, 4 Au 3.14
Au 0.5000 0.5000 0.1073  4 Zr 3.01, 4 Pa 3.13, 4 Au 3.14
Zr 0.0000 0.0000 0.4019  8 Au 3.00, 4 Zr 3.14
Zr 0.0000 0.0000 0.2059  8 Au 3.01, 4 Zr 3.14
Zr 0.0000 0.0000 0.7941  8 Au 3.01, 4 Zr 3.14
Zr 0.0000 0.0000 0.5981  8 Au 3.00, 4 Zr 3.14
Pa 0.0000 0.0000 0.0000  8 Au 3.13, 4 Pa 3.14

Its space-group type is P4/mmm. The calculation puts the energy of formation from the pure elements at -0.45 eV per atom.



Here is a relaxed structure of MnZn2Ir from the Alexandria database. Energies are from PBE-GGA.

Lattice parameters (Å, degrees): 5.0063 5.0063 5.0063 143.92 129.49 63.63
Closest atoms and distances in Å follow each position.
Fractional positions:
Mn 0.2498 0.7498 0.5000  2 Ir 2.64, 6 Zn 2.64-2.65
Zn 0.7528 0.2528 0.5000  2 Zn 2.59, 4 Mn 2.64, 2 Ir 2.65
Zn 0.9968 0.9968 0.0000  2 Zn 2.59, 4 Ir 2.64, 2 Mn 2.65
Ir 0.5006 0.5006 0.0000  2 Mn 2.64, 6 Zn 2.64-2.65

Its space-group type is Imm2. The calculation puts the energy of formation from the pure elements at -0.08 eV per atom.



Here is a relaxed structure of LiCa2InPd from the Alexandria database. Energies are from PBE-GGA.

Lattice parameters (Å, degrees): 5.5112 5.5112 5.2179 90.00 90.00 90.00
Closest atoms and distances in Å follow each position.
Fractional positions:
Li 0.5000 0.5000 0.5000  8 Ca 3.79, 4 In 3.90
Ca 0.0000 0.5000 0.0000  2 Pd 2.76
Ca 0.5000 0.0000 0.0000  2 Pd 2.76
Pd 0.0000 0.0000 0.0000  2 In 2.61, 4 Ca 2.76
In 0.0000 0.0000 0.5000  2 Pd 2.61

Its space-group type is P4/mmm. The calculation puts the energy of formation from the pure elements at -0.29 eV per atom.



Here is a relaxed structure of TlCd7Hg2 from the Alexandria database. Energies are from PBE-GGA.

Lattice parameters (Å, degrees): 5.0477 5.0477 10.7827 103.54 103.54 90.00
Closest atoms and distances in Å follow each position.
Fractional positions:
Cd 0.7500 0.2500 0.5000  4 Hg 2.97, 2 Cd 3.15
Cd 0.5000 0.5000 0.0000  8 Cd 3.18, 2 Hg 3.53
Cd 0.4049 0.9049 0.8098  2 Hg 2.98, 3 Cd 3.15-3.18, 2 Tl 3.18
Cd 0.5951 0.0951 0.1902  2 Hg 2.98, 3 Cd 3.15-3.18, 2 Tl 3.18
Cd 0.0951 0.5951 0.1902  2 Hg 2.98, 3 Cd 3.15-3.18, 2 Tl 3.18
Cd 0.9049 0.4049 0.8098  2 Hg 2.98, 3 Cd 3.15-3.18, 2 Tl 3.18
Cd 0.2500 0.7500 0.5000  4 Hg 2.97, 2 Cd 3.15
Tl 0.0000 0.0000 0.0000  8 Cd 3.18
Hg 0.3267 0.3267 0.6535  8 Cd 2.97-2.98
Hg 0.6733 0.6733 0.3465  8 Cd 2.97-2.98

Its space-group type is I4/mmm. Its polymorph energy (0 for the lowest one) is 0.000 eV/atom. The calculation puts the energy of formation from the pure elements at 0.05 eV per atom.



Here is a relaxed structure of Tm7Tl2Ni2 from the Alexandria database. Energies are from PBE-GGA.

Lattice parameters (Å, degrees): 6.7377 6.9078 6.7377 90.00 108.54 90.00
Closest atoms and distances in Å follow each position.
Fractional positions:
Tm 0.0002 0.7575 0.4997  2 Ni 2.63
Tm 0.4998 0.2327 0.5002  2 Ni 2.77, 2 Tl 3.10
Tm 0.5003 0.7575 0.9998  2 Ni 2.63
Tm 0.9998 0.2425 0.5003  2 Ni 2.63
Tm 0.0000 0.0000 0.0000  2 Ni 3.21
Tm 0.5002 0.7673 0.4998  2 Ni 2.77, 2 Tl 3.10
Tm 0.4997 0.2425 0.0002  2 Ni 2.63
Tl 0.8160 0.5000 0.8160  1 Tl 2.90, 2 Tm 3.10
Tl 0.1840 0.5000 0.1840  1 Tl 2.90, 2 Tm 3.10
Ni 0.7062 0.0000 0.2938  6 Tm 2.63-2.77
Ni 0.2938 0.0000 0.7062  6 Tm 2.63-2.77

Its space-group type is Cmmm. The calculation puts the energy of formation from the pure elements at -0.19 eV per atom.



Calculated M_tot, 0.0; 0.0; 0.0; 0.0; 3.9; 0.0; 0.0; 0.0 μB/f.u. (same order as the records).